A relaxed structure of Pm2Ho3Ru2. Source: the Alexandria database, functional GGA-PBE.

Lattice parameters (Å, degrees): 3.861 6.336 8.777 114.09 90.00 107.74
Fractional coordinates of all 7 atoms:
Ru 0.177 0.355 0.231
Ru 0.823 0.645 0.769
Ho 0.622 0.245 0.426
Ho 0.378 0.755 0.574
Ho 0.500 0.000 0.000
Pm 0.164 0.328 0.803
Pm 0.836 0.672 0.197

Results
**Magnetization**: 0.00 μB per formula unit
**Space group**: C2/m (12)
**Total energy**: -6.277 eV per atom
**DOS(E_F)**: 0.6698 states/eV per atom
**ΔE_f**: -307 meV/atom